A relaxed TiInGeP2 crystal. Source: Alexandria via LeMat-Bulk, functional PBE.

Output
The value obtained for the total energy is -3.9218 eV/atom. As for the space-group type: P4/mmm, No. 123. The volume comes out at 126.8 Å³ per cell. The value obtained for the formation energy is 1.292 eV per atom.

a b c (Å): 4.9175 5.2448 4.9175
angles (deg): 90.00 90.00 90.00
With the nearest neighbours (Å) after each atom.
Fractional positions:
P (0.0000, 0.0000, 0.5000)  2 In 2.46
P (0.5000, 0.0000, 0.0000)  2 In 2.46
Ge (0.5000, 0.5000, 0.5000)  4 Ti 3.48, 8 P 3.59
Ti (0.0000, 0.5000, 0.0000)  2 In 2.62
In (0.0000, 0.0000, 0.0000)  4 P 2.46, 2 Ti 2.62


A relaxed Pr3Er3Cd2 crystal. Source: Alexandria via LeMat-Bulk, functional PBE.

Output
The value obtained for the total energy is -3.8045 eV/atom. As for the space-group type: Cmcm, No. 63. The volume comes out at 497.9 Å³ per cell. The value obtained for the formation energy is -0.072 eV per atom.

a b c (Å): 5.2797 6.4601 15.9958
angles (deg): 90.00 90.00 114.12
With the nearest neighbours (Å) after each atom.
Fractional positions:
Pr (0.9618, 0.9237, 0.3937)  1 Cd 3.28, 4 Er 3.50-3.57, 2 Pr 3.52-3.56
Pr (0.0382, 0.0763, 0.8937)  1 Cd 3.28, 4 Er 3.50-3.57, 2 Pr 3.52-3.56
Pr (0.9618, 0.9237, 0.1063)  1 Cd 3.28, 4 Er 3.50-3.57, 2 Pr 3.52-3.56
Pr (0.0382, 0.0763, 0.6063)  1 Cd 3.28, 4 Er 3.50-3.57, 2 Pr 3.52-3.56
Pr (0.7312, 0.4624, 0.2500)  4 Cd 3.26, 3 Er 3.30-3.57, 2 Pr 3.56
Pr (0.2688, 0.5376, 0.7500)  4 Cd 3.26, 3 Er 3.30-3.57, 2 Pr 3.56
Er (0.6425, 0.2851, 0.4636)  3 Cd 3.02-3.24
Er (0.3575, 0.7149, 0.9636)  3 Cd 3.02-3.24
Er (0.6425, 0.2851, 0.0364)  3 Cd 3.02-3.24
Er (0.3575, 0.7149, 0.5364)  3 Cd 3.02-3.24
Er (0.4512, 0.9024, 0.2500)  2 Cd 3.16, 5 Pr 3.30-3.50
Er (0.5488, 0.0976, 0.7500)  2 Cd 3.16, 5 Pr 3.30-3.50
Cd (0.7620, 0.5241, 0.8696)  4 Er 3.02-3.24, 3 Pr 3.26-3.28
Cd (0.2380, 0.4759, 0.3696)  4 Er 3.02-3.24, 3 Pr 3.26-3.28
Cd (0.7620, 0.5241, 0.6304)  4 Er 3.02-3.24, 3 Pr 3.26-3.28
Cd (0.2380, 0.4759, 0.1304)  4 Er 3.02-3.24, 3 Pr 3.26-3.28


A relaxed Pr5YEr3 crystal. Source: Alexandria via LeMat-Bulk, functional PBE.

Output
The value obtained for the excess energy over the best structure of this formula in the dataset is 170 meV/atom. The value obtained for the total energy is -4.4462 eV/atom. As for the space-group type: C2/m, No. 12. The volume comes out at 691.8 Å³ per cell. The value obtained for the formation energy is 0.448 eV per atom.

a b c (Å): 9.7509 9.7509 11.7923
angles (deg): 52.24 52.24 74.03
With the nearest neighbours (Å) after each atom.
Fractional positions:
Pr (0.8496, 0.3486, 0.5438)  1 Y 3.40, 1 Pr 3.46, 2 Er 3.52-3.53
Pr (0.2541, 0.7459, 0.0000)  1 Er 2.98
Pr (0.8382, 0.8382, 0.9103)  4 Er 3.29-3.41, 1 Pr 3.31, 1 Y 3.41
Pr (0.5084, 0.5084, 0.2221)  3 Er 3.28-3.42, 3 Pr 3.31-3.46, 1 Y 3.33
Pr (0.4916, 0.4916, 0.7779)  3 Er 3.28-3.42, 3 Pr 3.31-3.46, 1 Y 3.33
Pr (0.1618, 0.1618, 0.0897)  4 Er 3.29-3.41, 1 Pr 3.31, 1 Y 3.41
Pr (0.3486, 0.8496, 0.5438)  1 Y 3.40, 1 Pr 3.46, 2 Er 3.52-3.53
Pr (0.7459, 0.2541, 0.0000)  1 Er 2.98
Pr (0.1504, 0.6514, 0.4562)  1 Y 3.40, 1 Pr 3.46, 2 Er 3.52-3.53
Pr (0.6514, 0.1504, 0.4562)  1 Y 3.40, 1 Pr 3.46, 2 Er 3.52-3.53
Y (0.1777, 0.1777, 0.5937)  3 Er 3.21-3.40, 4 Pr 3.33-3.41
Y (0.8223, 0.8223, 0.4063)  3 Er 3.21-3.40, 4 Pr 3.33-3.41
Er (0.6827, 0.6827, 0.8103)  1 Er 3.17, 5 Pr 3.28-3.42, 1 Y 3.40
Er (0.6627, 0.6627, 0.3243)  2 Er 3.26-3.38, 1 Y 3.29, 4 Pr 3.29-3.52
Er (0.0000, 0.0000, 0.0000)  2 Pr 2.98, 2 Y 3.21
Er (0.0000, 0.0000, 0.5000)  2 Er 3.17, 6 Pr 3.33-3.53
Er (0.3173, 0.3173, 0.1897)  1 Er 3.17, 5 Pr 3.28-3.42, 1 Y 3.40
Er (0.3373, 0.3373, 0.6757)  2 Er 3.26-3.38, 1 Y 3.29, 4 Pr 3.29-3.52


A relaxed CeSbC crystal. Source: Alexandria via LeMat-Bulk, functional PBE.

Output
The value obtained for the total energy is -6.5337 eV/atom. As for the space-group type: Immm, No. 71. The volume comes out at 155.9 Å³ per cell. The uncorrected formation energy is -0.321 eV/f.u.

a b c (Å): 4.2849 4.4568 8.7306
angles (deg): 104.79 104.21 90.00
With the nearest neighbours (Å) after each atom.
Fractional positions:
Sb (0.6765, 0.1765, 0.3530)  5 Ce 3.20-3.23
Sb (0.3235, 0.8235, 0.6470)  5 Ce 3.20-3.23
C (0.6473, 0.5000, 0.0000)  1 C 1.26
C (0.3527, 0.5000, 0.0000)  1 C 1.26
Ce (0.1258, 0.6258, 0.2517)  2 C 2.55
Ce (0.8742, 0.3742, 0.7483)  2 C 2.55